ErLuFeRh: relaxed, GGA-PBE.

The calculation puts the formation energy at -392 meV/atom. Its symmetry is F-43m, No. 216. The value obtained for the total energy is -6.616 eV/atom.

Cell lengths 4.7029, 4.7029, 4.7029 Å; angles 60.00, 60.00, 60.00 degrees
With the nearest neighbours (Å) after each atom.
Element x y z (fractional)
Er 0.0000 0.0000 0.0000  4 Rh 2.88, 4 Fe 2.88
Lu 0.5000 0.5000 0.5000  4 Rh 2.88, 4 Fe 2.88
Fe 0.2500 0.2500 0.2500  4 Er 2.88, 4 Lu 2.88
Rh 0.7500 0.7500 0.7500  4 Er 2.88, 4 Lu 2.88